Entry 1:
DFT (PBE-GGA) results for crystalline CaNi2Se at its relaxed geometry.

Values from the calculation:
The calculation puts the magnetic moment at 0.4 μB per cell. The space group is No. 99. The energy is -4.62 eV per atom.

abc: 3.810 3.810 4.983
angles: 90.01 90.00 90.00
Positions (direct):
1 Ni 0.000 0.875 0.173
2 Ni 0.500 0.375 0.173
3 Ca 0.500 0.875 0.714
4 Se 0.000 0.375 0.441

Entry 2:
DFT (PBE-GGA) results for crystalline NdY5Sc at its relaxed geometry.

Values from the calculation:
The calculation puts the magnetic moment at 0.0 μB per cell. The space group is No. 15. The energy is -5.99 eV per atom.

abc: 7.007 8.383 8.383
angles: 97.41 103.08 103.08
Positions (direct):
1 Nd 0.750 0.346 0.154
2 Nd 0.250 0.654 0.846
3 Y 0.537 0.893 0.666
4 Y 0.640 0.782 0.228
5 Y 0.037 0.166 0.393
6 Y 0.750 0.609 0.891
7 Y 0.860 0.272 0.718
8 Y 0.140 0.728 0.282
9 Y 0.250 0.391 0.109
10 Y 0.963 0.834 0.607
11 Y 0.360 0.218 0.772
12 Y 0.463 0.107 0.334
13 Sc 0.000 0.000 0.000
14 Sc 0.500 0.500 0.500

Entry 3:
DFT (PBE-GGA) results for crystalline TaTe2Pt at its relaxed geometry.

Values from the calculation:
The calculation puts the magnetic moment at 0.0 μB per cell. The space group is No. 123. The energy is -5.97 eV per atom.

abc: 3.514 3.514 6.568
angles: 90.00 90.00 90.00
Positions (direct):
1 Pt 0.500 0.500 0.250
2 Ta 0.500 0.500 0.750
3 Te 0.000 0.000 0.995
4 Te 0.000 0.000 0.505

Entry 4:
DFT (PBE-GGA) results for crystalline Pr3CuIr at its relaxed geometry.

Values from the calculation:
The calculation puts the magnetic moment at 0.0 μB per cell. The space group is No. 14. The energy is -5.77 eV per atom.

abc: 6.873 10.604 8.138
angles: 113.06 90.00 90.00
Positions (direct):
1 Pr 0.001 0.696 0.858
2 Pr 0.999 0.304 0.142
3 Pr 0.501 0.804 0.142
4 Pr 0.499 0.196 0.858
5 Pr 0.500 0.493 0.751
6 Pr 0.500 0.507 0.249
7 Pr 0.000 0.007 0.249
8 Pr 0.000 0.993 0.751
9 Pr 0.000 0.319 0.673
10 Pr 0.000 0.681 0.327
11 Pr 0.500 0.181 0.327
12 Pr 0.500 0.819 0.673
13 Cu 0.817 0.500 0.500
14 Cu 0.183 0.500 0.500
15 Cu 0.317 0.000 0.500
16 Cu 0.683 0.000 0.500
17 Ir 0.205 0.500 0.000
18 Ir 0.795 0.500 0.000
19 Ir 0.705 0.000 0.000
20 Ir 0.295 0.000 0.000

Entry 5:
DFT (PBE-GGA) results for crystalline LaGd2Ge at its relaxed geometry.

Values from the calculation:
The calculation puts the magnetic moment at 15.0 μB per cell. The space group is No. 123. The energy is -9.79 eV per atom.

abc: 4.719 4.810 4.810
angles: 90.00 90.00 90.00
Positions (direct):
1 Ge 0.500 0.500 0.500
2 Gd 0.000 0.000 0.500
3 Gd 0.000 0.500 0.000
4 La 0.500 0.000 0.000

Entry 6:
DFT (PBE-GGA) results for crystalline Li2PtAu at its relaxed geometry.

Values from the calculation:
The calculation puts the magnetic moment at 0.0 μB per cell. The space group is No. 122. The energy is -3.58 eV per atom.

abc: 6.906 6.906 5.567
angles: 51.66 51.66 90.00
Positions (direct):
1 Au 0.000 0.000 0.000
2 Au 0.750 0.250 0.500
3 Pt 0.500 0.500 0.000
4 Pt 0.250 0.750 0.500
5 Li 0.621 0.125 0.250
6 Li 0.129 0.625 0.250
7 Li 0.375 0.379 0.750
8 Li 0.875 0.871 0.750

Entry 7:
DFT (PBE-GGA) results for crystalline BaRuW2 at its relaxed geometry.

Values from the calculation:
The calculation puts the magnetic moment at 0.0 μB per cell. The space group is No. 12. The energy is -7.87 eV per atom.

abc: 5.734 5.734 2.913
angles: 81.30 81.30 122.16
Positions (direct):
1 Ba 0.500 0.000 0.500
2 Ru 0.000 0.500 0.500
3 W 0.000 0.000 0.000
4 W 0.500 0.500 0.000

Entry 8:
DFT (PBE-GGA) results for crystalline BaPrS2 at its relaxed geometry.

Values from the calculation:
The calculation puts the magnetic moment at 0.0 μB per cell. The space group is No. 166. The energy is -5.76 eV per atom.

abc: 4.252 4.252 7.622
angles: 73.80 73.80 60.00
Positions (direct):
1 Pr 0.000 0.000 0.000
2 S 0.259 0.259 0.223
3 S 0.741 0.741 0.777
4 Ba 0.500 0.500 0.500

Entry 9:
DFT (PBE-GGA) results for crystalline PmIrPbO6 at its relaxed geometry.

Values from the calculation:
The calculation puts the magnetic moment at 2.8 μB per cell. The space group is No. 163. The energy is -6.65 eV per atom.

abc: 5.741 5.741 9.411
angles: 90.00 90.00 120.00
Positions (direct):
1 Pm 0.333 0.667 0.250
2 Pm 0.667 0.333 0.750
3 Ir 0.667 0.333 0.250
4 Ir 0.333 0.667 0.750
5 Pb 0.000 0.000 0.000
6 Pb 0.000 0.000 0.500
7 O 0.660 0.610 0.133
8 O 0.950 0.340 0.133
9 O 0.340 0.950 0.633
10 O 0.050 0.660 0.867
11 O 0.390 0.340 0.367
12 O 0.950 0.610 0.367
13 O 0.610 0.950 0.867
14 O 0.660 0.050 0.367
15 O 0.050 0.390 0.633
16 O 0.390 0.050 0.133
17 O 0.610 0.660 0.633
18 O 0.340 0.390 0.867

Q: What is the formula in the ninth record?
A: PmIrPbO6

Q: magnetic moment of number 1 (CaNi2Se)?
A: 0.4 μB per cell